# MnCo4O8 PBE with a Hubbard U optimized geometry
# M_tot   8.88 μB/f.u.
# Raw total energy   -159.95 eV/cell
data_MnCo4O8
_symmetry_space_group_name_H-M 'C 1 2/m 1'
_symmetry_Int_Tables_number 12
_symmetry_space_group_name_Hall '-C 2y'
_cell_length_a 9.946
_cell_length_b 5.747
_cell_length_c 5.963
_cell_angle_alpha 90.00
_cell_angle_beta 125.62
_cell_angle_gamma 90.00
loop_
_atom_site_label
_atom_site_type_symbol
_atom_site_fract_x
_atom_site_fract_y
_atom_site_fract_z
_atom_site_occupancy
Mn1 Mn 0.000 0.000 0.000 1
Co1 Co 0.000 0.000 0.500 1
Co2 Co 0.000 0.500 0.000 1
Co3 Co 0.250 0.250 0.000 1
O1 O 0.014 0.236 0.785 1
O2 O 0.238 0.000 0.193 1
O3 O 0.250 0.000 0.788 1